Entry 1:
Entry from Alexandria: an optimized crystal structure of BSbIr2Pt (PBE).

Unit cell a=4.895 b=4.945 c=4.895 alpha=90.00 beta=90.00 gamma=90.00
Sites, in units of the cell vectors:
Ir (0.000, 0.000, 0.500)
Pt (0.000, 0.500, 0.000)
Sb (0.000, 0.000, 0.000)
Ir (0.500, 0.000, 0.000)
B (0.500, 0.500, 0.500)

ΔE_f (raw), eV per atom: 2.30
V, Å³ per cell: 118.5
Density of states at the Fermi level, states/eV per atom: 1.3292
Electronic total energy, eV per cell: -23.07
Symmetry: No. 123
Spin magnetization, μB per cell: 0.00


Entry 2:
Entry from Alexandria: an optimized crystal structure of Ac2HgSb4Pd3 (PBE).

Unit cell a=4.859 b=4.859 c=10.714 alpha=90.00 beta=90.00 gamma=90.00
Sites, in units of the cell vectors:
Sb (0.500, 0.000, 0.639)
Sb (0.000, 0.000, 0.000)
Sb (0.000, 0.500, 0.361)
Pd (0.000, 0.500, 0.115)
Ac (0.000, 0.500, 0.751)
Hg (0.500, 0.500, 0.500)
Sb (0.500, 0.500, 0.000)
Ac (0.500, 0.000, 0.249)
Pd (0.500, 0.000, 0.885)
Pd (0.000, 0.000, 0.500)

ΔE_f (raw), eV per atom: -0.73
V, Å³ per cell: 253.0
Density of states at the Fermi level, states/eV per atom: 0.3518
Electronic total energy, eV per cell: -47.92
Symmetry: No. 115
Spin magnetization, μB per cell: 0.00


Entry 3:
Entry from Alexandria: an optimized crystal structure of KGe2HAu (PBE).

Unit cell a=5.687 b=3.629 c=5.687 alpha=90.00 beta=90.00 gamma=90.00
Sites, in units of the cell vectors:
K (0.000, 0.000, 0.000)
H (0.000, 0.500, 0.000)
Au (0.500, 0.500, 0.500)
Ge (0.000, 0.000, 0.500)
Ge (0.500, 0.000, 0.000)

V, Å³ per cell: 117.3
Density of states at the Fermi level, states/eV per atom: 0.8890
Electronic total energy, eV per cell: -10.35
Symmetry: No. 123
Spin magnetization, μB per cell: 0.00


Entry 4:
Entry from Alexandria: an optimized crystal structure of Mg2NpTiN4 (PBE).

Unit cell a=3.217 b=5.503 c=5.451 alpha=108.56 beta=90.00 gamma=90.00
Site moments in Bohr magnetons follow the coordinates.
Sites, in units of the cell vectors:
Np (0.000, 0.000, 0.000)  2.50
Mg (0.000, 0.500, 0.500)  0.00
N (0.500, 0.739, 0.756)  -0.08
Mg (0.500, 0.000, 0.500)  0.00
N (0.000, 0.741, 0.232)  -0.06
Ti (0.500, 0.500, 0.000)  0.45
N (0.000, 0.259, 0.768)  -0.06
N (0.500, 0.261, 0.244)  -0.08

ΔE_f (raw), eV per atom: -1.11
V, Å³ per cell: 91.5
Density of states at the Fermi level, states/eV per atom: 0.4869
Electronic total energy, eV per cell: -66.21
Symmetry: No. 10
Spin magnetization, μB per cell: 2.85


What is the electronic total energy in the second record?
-47.92 eV per cell